First-principles (PBE-GGA) data for crystalline DyGa2SiRu2 at its relaxed geometry, as listed in the Alexandria database.

```
data_DyGa2SiRu2
_chemical_formula_sum 'Dy1 Ga2 Si1 Ru2'
_symmetry_space_group_name_H-M 'P 4/m m m'
_symmetry_Int_Tables_number 123
_symmetry_space_group_name_Hall '-P 4 2'
_cell_length_a 4.4244
_cell_length_b 4.4244
_cell_length_c 5.5955
_cell_angle_alpha 90.00
_cell_angle_beta 90.00
_cell_angle_gamma 90.00
loop_
_atom_site_label
_atom_site_type_symbol
_atom_site_fract_x
_atom_site_fract_y
_atom_site_fract_z
Dy1 Dy 0.0000 0.0000 0.0000
Ga1 Ga 0.5000 0.5000 0.2278
Si1 Si 0.0000 0.0000 0.5000
Ru1 Ru 0.0000 0.5000 0.5000
```

Calculated values
* formation energy (no corrections): -8.7 kcal/mol of atoms